Material: PaFeBO6
Method: DFT, PBE+U
State: relaxed

a = 4.7295 Å, b = 4.7295 Å, c = 4.7250 Å
α = 90.00°, β = 90.00°, γ = 120.00°
Last column: nearest neighbours and their distance in Å.
Fractional coordinates of all 9 atoms:
Pa1 0.0000 0.0000 0.0000  6 O 2.22
Fe1 0.3333 0.6667 0.5000  6 O 1.89
B1 0.6667 0.3333 0.5000  6 O 1.72
O1 0.3814 0.0279 0.7103  1 B 1.72, 1 Fe 1.89
O2 0.3814 0.3535 0.2897  1 B 1.72, 1 Fe 1.89
O3 0.6465 0.0279 0.2897  1 B 1.72, 1 Fe 1.89
O4 0.6465 0.6186 0.7103  1 B 1.72, 1 Fe 1.89
O5 0.9721 0.3535 0.7103  1 B 1.72, 1 Fe 1.89
O6 0.9721 0.6186 0.2897  1 B 1.72, 1 Fe 1.89

Calculated values
Symmetry: P312, No. 149
Spin magnetization: 2.021 μB per formula unit
Uncorrected energy: -69.220 eV/cell